The following is a DFT calculation (PBE+U) of crystalline CoHNO2 at its relaxed geometry.

Raw total energy   -21.63 eV/cell
Fermi-level density of states   2.94 states/eV/f.u.

Lattice parameters (Å, degrees): 2.781 2.781 6.441 90.00 90.00 90.00
Space group P4/mmm (No. 123)
Asymmetric unit:
Co (0.000, 0.000, 0.000) x1
H (0.500, 0.500, 0.500) x1
N (0.500, 0.500, 0.000) x1
O (0.000, 0.500, 0.500) x2